The following is a PBE calculation of crystalline Er6BiP3S2 at its relaxed geometry, from the Alexandria database.

Structure (POSCAR):
```
Er6BiP3S2
1.0
8.776 -2.003 0.000
8.776 2.003 0.000
-1.930 0.000 7.866
Er Bi P S
6 1 3 2
direct
0.001 0.001 0.226 Er
0.324 0.324 0.419 Er
0.334 0.334 0.910 Er
0.666 0.666 0.090 Er
0.676 0.676 0.581 Er
0.999 0.999 0.774 Er
0.500 0.500 0.500 Bi
0.165 0.165 0.330 P
0.500 0.500 0.000 P
0.835 0.835 0.670 P
0.170 0.170 0.838 S
0.830 0.830 0.162 S
```

Summary:
As for the energy relative to the elements, uncorrected: -1592 meV per atom.

=====

The following is a PBE calculation of crystalline AsSe2Cl at its relaxed geometry, from the Alexandria database.

Structure (POSCAR):
```
AsSe2Cl
1.0
1.769 1.022 9.230
-1.769 1.022 9.230
0.000 -2.043 9.230
As Se Cl
1 2 1
direct
0.000 0.000 0.000 As
0.476 0.476 0.476 Se
0.723 0.723 0.723 Se
0.268 0.268 0.268 Cl
```

Summary:
As for the energy relative to the elements, uncorrected: 153 meV per atom.

=====

The following is a PBE calculation of crystalline Ti2CuWSe at its relaxed geometry, from the Alexandria database.

Structure (POSCAR):
```
Ti2CuWSe
1.0
4.587 0.000 0.000
0.000 4.587 0.000
0.000 0.000 4.570
Ti Cu W Se
2 1 1 1
direct
0.000 0.500 0.000 Ti
0.500 0.000 0.000 Ti
0.000 0.000 0.000 Cu
0.000 0.000 0.500 W
0.500 0.500 0.500 Se
```

Summary:
As for the energy relative to the elements, uncorrected: 939 meV per atom.